SnSb2Pb6 | PBE-GGA | relaxed

a b c (Å): 7.1949 7.9530 12.5392
angles (deg): 90.00 124.64 90.00
Fractional positions:
Sn1 0.0000 0.0000 0.0000
Sn2 0.0000 0.5000 0.5000
Sb1 0.2992 0.0974 0.7702
Sb2 0.2992 0.4026 0.2702
Sb3 0.7008 0.5974 0.7298
Sb4 0.7008 0.9026 0.2298
Pb1 0.1638 0.0183 0.2872
Pb2 0.1638 0.4817 0.7872
Pb3 0.2518 0.6606 0.0587
Pb4 0.2518 0.8394 0.5587
Pb5 0.4175 0.2258 0.0722
Pb6 0.4175 0.2742 0.5722
Pb7 0.5825 0.7258 0.4278
Pb8 0.5825 0.7742 0.9278
Pb9 0.7482 0.1606 0.4413
Pb10 0.7482 0.3394 0.9413
Pb11 0.8362 0.5183 0.2128
Pb12 0.8362 0.9817 0.7128

Properties
- SG = No. 14
- energy above the lowest structure with this stoichiometry (eV/f.u.) = 0.297
- volume (Å³/atom) = 32.80
- formation energy (no corrections) (meV per atom) = 86
- DOS at the Fermi energy (states/eV/cell) = 7.7